An optimized crystal structure of KMgTiBr6. Source: Alexandria, functional PBE-GGA.

Cell and atoms, written as POSCAR:
```
KMgTiBr6
1.0
6.897 0.000 0.000
-3.448 5.973 0.000
0.000 0.000 14.654
K Mg Br Ti
2 2 12 2
Direct
0.000 0.000 0.500
0.000 0.000 0.000
0.333 0.667 0.250
0.667 0.333 0.750
0.009 0.378 0.647
0.991 0.622 0.353
0.378 0.369 0.353
0.009 0.631 0.853
0.631 0.622 0.147
0.622 0.991 0.853
0.631 0.009 0.353
0.369 0.378 0.853
0.622 0.631 0.647
0.991 0.369 0.147
0.369 0.991 0.647
0.378 0.009 0.147
0.667 0.333 0.250
0.333 0.667 0.750
```

For the calculated total energy, the calculation gives -3.694 eV/atom. As for the total magnetization: 1.00 μB per formula unit. The value obtained for the calculated volume is 33.535 A^3/atom.